This record from Alexandria via LeMat-Bulk describes a geometry-optimized CaAc2VO6 structure. The functional is PBE+U.

Magnetic moment, μB/f.u.: 1.00
E, eV per atom: -7.6924

Cell lengths 5.8644, 5.9935, 10.0352 Å; angles 90.00, 125.40, 90.00 degrees
Space group P2_1/c (No. 14)
Inequivalent atoms, fractional coordinates:
Ca  0.0000  0.0000  0.0000 [2 per cell]
Ac  0.2637  0.0445  0.7497 [4 per cell]
V  0.5000  0.0000  0.5000 [2 per cell]
O  0.1854  0.0272  0.2752 [4 per cell]
O  0.2736  0.6940  0.0465 [4 per cell]
O  0.3630  0.2260  0.0542 [4 per cell]